## Cu2NiAg (meta-GGA SCAN)

Data for a PBEsol-optimized structure of Cu2NiAg.

a b c (Å): 2.693 2.693 6.819
angles (deg): 90.00 90.00 90.00
Positions (direct):
Ni 0.500 0.500 0.000
Cu 0.000 0.000 0.777
Cu 0.000 0.000 0.223
Ag 0.500 0.500 0.500

Properties
crystal system	tetragonal

***

## PrHoMg2 (meta-GGA SCAN)

Data for a PBEsol-optimized structure of PrHoMg2.

a b c (Å): 5.359 5.359 5.359
angles (deg): 60.00 60.00 60.00
Positions (direct):
Mg 0.250 0.250 0.250
Mg 0.750 0.750 0.750
Ho 0.500 0.500 0.500
Pr 0.000 0.000 0.000

Properties
crystal system	cubic

***

| no. | spin magnetization (μB per cell) | E_tot (eV/cell) | DOS(E_F) (states/eV/f.u.) |
| --- | --- | --- | --- |
| 1 | 0.0 | -77.44 | 2.0 |
| 2 | 0.0 | -102.65 | 3.8 |